Cd2BiTe4 | PBE | optimized geometry

Cell lengths 7.693, 7.693, 13.524 Å; angles 90.00, 90.00, 146.74 degrees
Fractional coordinates of all 14 atoms:
Cd: 0.133 0.867 0.559
Cd: 0.133 0.867 0.941
Cd: 0.867 0.133 0.059
Cd: 0.867 0.133 0.441
Bi: 0.400 0.600 0.750
Bi: 0.600 0.400 0.250
Te: 0.045 0.955 0.750
Te: 0.229 0.771 0.127
Te: 0.229 0.771 0.373
Te: 0.500 0.500 0.000
Te: 0.500 0.500 0.500
Te: 0.771 0.229 0.627
Te: 0.771 0.229 0.873
Te: 0.955 0.045 0.250

Output
**Uncorrected formation energy**: -0.162 eV per atom
**Spin magnetization**: 0.00 μB/f.u.

---

CdBi4Te7 | PBE | optimized geometry

Cell lengths 4.441, 4.441, 24.580 Å; angles 90.00, 90.00, 120.00 degrees
Fractional coordinates of all 12 atoms:
Cd: 0.000 0.000 0.000
Bi: 0.333 0.667 0.153
Bi: 0.333 0.667 0.416
Bi: 0.667 0.333 0.584
Bi: 0.667 0.333 0.847
Te: 0.000 0.000 0.222
Te: 0.000 0.000 0.500
Te: 0.000 0.000 0.778
Te: 0.333 0.667 0.654
Te: 0.333 0.667 0.932
Te: 0.667 0.333 0.068
Te: 0.667 0.333 0.346

Output
**Uncorrected formation energy**: -0.252 eV per atom
**Spin magnetization**: 0.00 μB/f.u.

---

Cd2Bi2Te | PBE | optimized geometry

Cell lengths 9.012, 9.012, 3.705 Å; angles 90.00, 90.00, 90.00 degrees
Fractional coordinates of all 10 atoms:
Cd: 0.113 0.387 0.000
Cd: 0.387 0.887 0.000
Cd: 0.613 0.113 0.000
Cd: 0.887 0.613 0.000
Bi: 0.195 0.695 0.500
Bi: 0.305 0.195 0.500
Bi: 0.695 0.805 0.500
Bi: 0.805 0.305 0.500
Te: 0.000 0.000 0.500
Te: 0.500 0.500 0.500

Output
**Uncorrected formation energy**: 0.079 eV per atom
**Spin magnetization**: 0.00 μB/f.u.

---

Cd2BiTe2 | PBE | optimized geometry

Cell lengths 8.886, 8.886, 8.886 Å; angles 152.78, 152.78, 38.87 degrees
Fractional coordinates of all 5 atoms:
Cd: 0.250 0.750 0.500
Cd: 0.750 0.250 0.500
Bi: 0.000 0.000 0.000
Te: 0.394 0.394 0.000
Te: 0.606 0.606 0.000

Output
**Uncorrected formation energy**: 0.063 eV per atom
**Spin magnetization**: 0.00 μB/f.u.

---

CdBiTe3 | PBE | optimized geometry

Cell lengths 7.776, 4.491, 10.236 Å; angles 90.00, 103.32, 90.00 degrees
Fractional coordinates of all 10 atoms:
Cd: 0.096 0.250 0.258
Cd: 0.904 0.750 0.742
Bi: 0.437 0.250 0.675
Bi: 0.563 0.750 0.325
Te: 0.136 0.250 0.834
Te: 0.233 0.750 0.468
Te: 0.385 0.250 0.126
Te: 0.615 0.750 0.874
Te: 0.767 0.250 0.532
Te: 0.864 0.750 0.166

Output
**Uncorrected formation energy**: -0.175 eV per atom
**Spin magnetization**: 0.00 μB/f.u.

---

Cd2Bi2Te | PBE | optimized geometry

Cell lengths 8.465, 8.465, 4.008 Å; angles 90.00, 90.00, 90.00 degrees
Fractional coordinates of all 10 atoms:
Cd: 0.119 0.381 0.000
Cd: 0.381 0.881 0.000
Cd: 0.619 0.119 0.000
Cd: 0.881 0.619 0.000
Bi: 0.188 0.688 0.500
Bi: 0.312 0.188 0.500
Bi: 0.688 0.812 0.500
Bi: 0.812 0.312 0.500
Te: 0.000 0.000 0.000
Te: 0.500 0.500 0.000

Output
**Uncorrected formation energy**: 0.166 eV per atom
**Spin magnetization**: 0.00 μB/f.u.

---

CdBiTe3 | PBE | optimized geometry

Cell lengths 5.919, 5.919, 5.919 Å; angles 90.00, 90.00, 90.00 degrees
Fractional coordinates of all 5 atoms:
Cd: 0.000 0.000 0.000
Bi: 0.500 0.500 0.500
Te: 0.000 0.500 0.500
Te: 0.500 0.000 0.500
Te: 0.500 0.500 0.000

Output
**Uncorrected formation energy**: 0.496 eV per atom
**Spin magnetization**: 0.00 μB/f.u.

---

CdBi3Te | PBE | optimized geometry

Cell lengths 5.653, 5.653, 5.653 Å; angles 90.00, 90.00, 90.00 degrees
Fractional coordinates of all 5 atoms:
Cd: 0.000 0.000 0.000
Bi: 0.000 0.000 0.500
Bi: 0.000 0.500 0.000
Bi: 0.500 0.000 0.000
Te: 0.500 0.500 0.500

Output
**Uncorrected formation energy**: 0.640 eV per atom
**Spin magnetization**: 0.00 μB/f.u.